The following is a DFT calculation (GGA-PBE) of LaCoPd after structural relaxation. Values from VASP.

## Properties
Fermi-level density of states: 0.895 states/eV per atom
DFT formation energy: -9.8 kJ per mole of atoms

The structure in Quantum ESPRESSO input format:
```
&SYSTEM
  ibrav = 0, nat = 6, ntyp = 3
/
ATOMIC_SPECIES
La 138.91 La.upf
Co 58.93 Co.upf
Pd 106.42 Pd.upf
ATOMIC_POSITIONS crystal
La 0.000 0.000 0.184
La 0.000 0.000 0.816
Co 0.000 0.000 0.500
Co 0.500 0.500 0.000
Pd 0.500 0.500 0.363
Pd 0.500 0.500 0.637
CELL_PARAMETERS angstrom
3.517 0.000 0.000
0.000 3.517 0.000
0.000 0.000 9.583
```